--- w ---
# PBE-GGA Fe2AgI6, optimized geometry
# - Magnetization: 18.07 μB/cell
data_Fe2AgI6
_chemical_formula_sum 'Fe4 Ag2 I12'
_space_group_name_H-M_alt 'C 1 2/m 1'
_space_group_IT_number 12
_space_group_name_Hall '-C 2y'
_cell_length_a 14.000
_cell_length_b 5.897
_cell_length_c 8.932
_cell_angle_alpha 90.00
_cell_angle_beta 95.51
_cell_angle_gamma 90.00
loop_
_atom_site_label
_atom_site_type_symbol
_atom_site_fract_x
_atom_site_fract_y
_atom_site_fract_z
Fe1 Fe 0.231 0.000 0.171
Ag1 Ag 0.000 0.000 0.500
I1 I 0.050 0.000 0.215
I2 I 0.142 0.500 0.607
I3 I 0.236 0.500 0.118

=====

--- x ---
# PBE-GGA Fe2AgI6, optimized geometry
# - Magnetization: 36.00 μB/cell
data_Fe2AgI6
_chemical_formula_sum 'Fe8 Ag4 I24'
_space_group_name_H-M_alt 'C 1 2/c 1'
_space_group_IT_number 15
_space_group_name_Hall '-C 2yc'
_cell_length_a 15.164
_cell_length_b 15.407
_cell_length_c 7.211
_cell_angle_alpha 90.00
_cell_angle_beta 112.73
_cell_angle_gamma 90.00
loop_
_atom_site_label
_atom_site_type_symbol
_atom_site_fract_x
_atom_site_fract_y
_atom_site_fract_z
Fe1 Fe 0.215 0.080 0.316
Ag1 Ag 0.000 0.293 0.250
I1 I 0.105 0.405 0.582
I2 I 0.123 0.208 0.097
I3 I 0.161 0.069 0.621

=====

w is the least stable structure shown above.